# 1
Computed, not measured: a geometry-optimized Nd6Ho3In structure at the GGA-PBE level of DFT.

Output
DFT formation energy = 0.040 eV per atom
Distance to the lowest polymorph of the same formula = 50.0 meV per atom
Crystal system = orthorhombic
V = 33.798 Å³/atom

Cell lengths 10.720, 11.956, 5.274 Å; angles 90.00, 90.00, 90.00 degrees
Space group Pnnm (No. 58)
Symmetry-distinct sites (fractional):
Nd 0.078 0.250 0.000 x4
Nd 0.175 0.074 0.500 x4
Nd 0.218 0.383 0.500 x4
Ho 0.000 0.500 0.000 x2
Ho 0.113 0.706 0.500 x4
In 0.000 0.000 0.000 x2


# 2
Computed, not measured: a geometry-optimized Sr2PmBi3 structure at the GGA-PBE level of DFT.

Output
DFT formation energy = -0.722 eV per atom
Crystal system = orthorhombic
V = 37.747 Å³/atom

Cell lengths 4.386, 6.727, 15.353 Å; angles 90.00, 90.00, 90.00 degrees
Space group Immm (No. 71)
Symmetry-distinct sites (fractional):
Sr 0.000 0.000 0.174 x4
Pm 0.000 0.000 0.500 x2
Bi 0.000 0.500 0.154 x4
Bi 0.000 0.500 0.500 x2


# 3
Computed, not measured: a geometry-optimized Pr8Sn2Pb structure at the GGA-PBE level of DFT.

Output
DFT formation energy = -0.359 eV per atom
Crystal system = monoclinic
V = 34.047 Å³/atom

Cell lengths 20.363, 5.241, 7.215 Å; angles 90.00, 103.41, 90.00 degrees
Space group C2/m (No. 12)
Symmetry-distinct sites (fractional):
Pr 0.022 0.000 0.261 x4
Pr 0.094 0.500 0.978 x4
Pr 0.161 0.500 0.501 x4
Pr 0.215 0.000 0.829 x4
Sn 0.182 0.000 0.256 x4
Pb 0.000 0.500 0.500 x2


# 4
Computed, not measured: a geometry-optimized SrSb2Os structure at the GGA-PBE level of DFT.

Output
Distance to the lowest polymorph of the same formula = 605.7 meV per atom
Crystal system = tetragonal
V = 23.290 Å³/atom

Cell lengths 4.628, 4.628, 4.349 Å; angles 90.00, 90.00, 90.00 degrees
Space group P4/mmm (No. 123)
Symmetry-distinct sites (fractional):
Sr 0.000 0.000 0.000 x1
Sb 0.000 0.500 0.500 x2
Os 0.500 0.500 0.000 x1


# 5
Computed, not measured: a geometry-optimized Fe2ReTe structure at the GGA-PBE level of DFT.

Output
DFT total energy = -7.565 eV/atom
Crystal system = trigonal
V = 15.620 Å³/atom

Cell lengths 2.9664, 2.9664, 24.5956 Å; angles 90.00, 90.00, 120.00 degrees
Space group R-3m (No. 166, hexagonal axes)
Symmetry-distinct sites (fractional):
Fe 0.0000 0.0000 0.2449 x6
Re 0.0000 0.0000 0.5000 x3
Te 0.0000 0.0000 0.0000 x3


# 6
Computed, not measured: a geometry-optimized AcSb4Pb structure at the GGA-PBE level of DFT.

Output
DFT total energy = -4.242 eV/atom
Crystal system = cubic
V = 30.701 Å³/atom

Cell lengths 9.032, 9.032, 9.032 Å; angles 90.00, 90.00, 90.00 degrees
Space group F-43m (No. 216)
Symmetry-distinct sites (fractional):
Ac 0.000 0.000 0.000 x4
Sb 0.124 0.124 0.624 x16
Pb 0.250 0.250 0.250 x4


# 7
Computed, not measured: a geometry-optimized InSn2Au6 structure at the GGA-PBE level of DFT.

Output
DFT formation energy = -0.097 eV per atom
Crystal system = monoclinic
V = 20.966 Å³/atom

Cell lengths 8.733, 4.988, 8.913 Å; angles 90.00, 103.60, 90.00 degrees
Space group C2/m (No. 12)
Symmetry-distinct sites (fractional):
In 0.000 0.000 0.000 x2
Sn 0.204 0.500 0.635 x4
Au 0.048 0.000 0.678 x4
Au 0.115 0.500 0.300 x4
Au 0.165 0.500 0.980 x4


# 8
Computed, not measured: a geometry-optimized Dy6SbTe2As3 structure at the GGA-PBE level of DFT.

Output
DFT total energy = -5.775 eV/atom
Crystal system = monoclinic
V = 27.017 Å³/atom

Cell lengths 18.582, 4.215, 8.546 Å; angles 90.00, 104.36, 90.00 degrees
Space group C2/m (No. 12)
Symmetry-distinct sites (fractional):
Dy 0.006 0.000 0.242 x4
Dy 0.159 0.500 0.101 x4
Dy 0.170 0.500 0.566 x4
Sb 0.000 0.500 0.500 x2
Te 0.168 0.000 0.836 x4
As 0.000 0.500 0.000 x2
As 0.168 0.000 0.334 x4